1.
Material: AcPr4Y10
Method: DFT, GGA-PBE
State: relaxed

Summary:
Volume: 1130 Å³/cell
Formation enthalpy at 0 K: 50.1 kJ/mol of atoms
Mass density: 4.9 g/cm3
Crystal system: tetragonal

a = 13.0014 Å, b = 13.0014 Å, c = 6.6864 Å
α = 90.00°, β = 90.00°, γ = 90.00°
Closest atoms and distances in Å follow each position.
Space group I4/m (No. 87)
Symmetry-distinct sites (fractional):
Ac1 0.0000 0.0000 0.0000 x2  8 Pr 4.14, 8 Y 4.52
Pr1 0.0671 0.1753 0.5000 x8  6 Y 3.44-3.52, 2 Pr 3.45
Y1 0.0000 0.5000 0.2500 x4  6 Y 3.16-3.34
Y2 0.1307 0.7048 0.2508 x16  4 Y 3.16-3.35, 3 Pr 3.44-3.52

2.
Material: La2Pr5Nd2
Method: DFT, GGA-PBE
State: relaxed

Summary:
Volume: 658 Å³/cell
Formation enthalpy at 0 K: 11.9 kJ/mol of atoms
Mass density: 6.4 g/cm3
Relative energy among the computed polymorphs: 0.0 meV per atom
Crystal system: monoclinic

a = 18.1938 Å, b = 3.5820 Å, c = 10.2102 Å
α = 90.00°, β = 98.46°, γ = 90.00°
Closest atoms and distances in Å follow each position.
Space group C2/m (No. 12)
Symmetry-distinct sites (fractional):
La1 0.1623 0.0000 0.2244 x4  7 Pr 3.46-3.71, 2 La 3.58, 2 Nd 3.74
Pr1 0.0000 0.0000 0.0000 x2  2 La 3.46, 4 Pr 3.58-3.62, 4 Nd 3.68
Pr2 0.1686 0.5000 0.5379 x4  2 Nd 3.55-3.61, 6 Pr 3.58-3.82, 3 La 3.63-3.65
Pr3 0.1746 0.0000 0.8703 x4  7 Pr 3.58-3.95, 3 La 3.66-3.71, 2 Nd 3.82
Nd1 0.0041 0.5000 0.6868 x4  6 Pr 3.55-3.82, 3 Nd 3.58-3.80, 2 La 3.74

3.
Material: FeReAu2
Method: DFT, GGA-PBE
State: relaxed

Summary:
Volume: 254 Å³/cell
Formation enthalpy at 0 K: 59.6 kJ/mol of atoms
Mass density: 16.6 g/cm3
Relative energy among the computed polymorphs: 392.0 meV per atom
Crystal system: cubic

a = 6.3339 Å, b = 6.3339 Å, c = 6.3339 Å
α = 90.00°, β = 90.00°, γ = 90.00°
Closest atoms and distances in Å follow each position.
Space group F-43m (No. 216)
Symmetry-distinct sites (fractional):
Fe1 0.0000 0.0000 0.0000 x4  4 Re 2.74, 4 Au 2.74
Re1 0.2500 0.2500 0.7500 x4  4 Fe 2.74, 4 Au 2.74
Au1 0.0000 0.0000 0.5000 x4  4 Re 2.74, 4 Au 2.74
Au2 0.2500 0.2500 0.2500 x4  4 Fe 2.74, 4 Au 2.74